No. 1
Material: BaIn3Pt2
Method: DFT, PBE-GGA
State: relaxed

Unit cell a=18.1116 b=4.5577 c=11.3557 alpha=90.00 beta=108.66 gamma=90.00
Closest atoms and distances in Å follow each position.
Space group C2/m (No. 12)
One atom of each set of equivalent atoms:
1 Ba 0.0000 0.0000 0.0000  6 Pt 3.42-3.52, 6 In 3.52-3.79
2 Ba 0.1587 0.0000 0.7074  8 In 3.49-3.83, 6 Pt 3.50-3.69
3 In 0.0000 0.5000 0.5000  4 Pt 2.75-3.05
4 In 0.0426 0.0000 0.3494  4 Pt 2.76-2.84, 3 In 3.06-3.09
5 In 0.1290 0.5000 0.1998  4 Pt 2.72-2.86
6 In 0.1714 0.5000 0.9603  4 Pt 2.80-2.91, 1 In 3.05
7 In 0.2183 0.0000 0.3920  4 Pt 2.69-2.90
8 Pt 0.0242 0.5000 0.7784  5 In 2.76-3.05
9 Pt 0.1368 0.5000 0.4433  7 In 2.69-2.88
10 Pt 0.1985 0.0000 0.1282  6 In 2.84-2.91

Results
As for the excess energy over the best structure of this formula in the dataset: 0.00 eV/f.u. As for the density: 9782 kg/m3. The energy comes out at -4.298 eV per atom.

---

No. 2
Material: BaIn5Pt3
Method: DFT, PBE-GGA
State: relaxed

Unit cell a=4.4049 b=14.1578 c=14.2045 alpha=90.00 beta=90.00 gamma=90.00
Closest atoms and distances in Å follow each position.
Space group Cmcm (No. 63)
One atom of each set of equivalent atoms:
1 Ba 0.0000 0.1684 0.2500  6 Pt 3.65-3.84, 8 In 3.83-4.04
2 In 0.0000 0.0000 0.0000  4 Pt 2.76, 2 In 3.05
3 In 0.0000 0.2037 0.5703  4 Pt 2.66-2.97
4 In 0.0000 0.4511 0.1509  4 Pt 2.79-2.83, 1 In 2.82
5 Pt 0.0000 0.1259 0.7500  6 In 2.78-2.83
6 Pt 0.0000 0.3884 0.5356  7 In 2.66-2.97

Results
As for the density: 9723 kg/m3. The energy comes out at -4.270 eV per atom.

---

No. 3
Material: BaInPt
Method: DFT, PBE-GGA
State: relaxed

Unit cell a=4.7226 b=4.7226 c=4.7299 alpha=90.00 beta=90.00 gamma=120.00
Closest atoms and distances in Å follow each position.
Space group P-6m2 (No. 187)
One atom of each set of equivalent atoms:
1 Ba 0.0000 0.0000 0.0000  6 In 3.61, 6 Pt 3.61
2 In 0.6667 0.3333 0.5000  3 Pt 2.73
3 Pt 0.3333 0.6667 0.5000  3 In 2.73

Results
As for the density: 8129 kg/m3. The energy comes out at -4.205 eV per atom.

---

No. 4
Material: BaInPt2
Method: DFT, PBE-GGA
State: relaxed

Unit cell a=3.4244 b=5.1483 c=10.7187 alpha=90.00 beta=90.00 gamma=90.00
Closest atoms and distances in Å follow each position.
Space group Imm2 (No. 44)
One atom of each set of equivalent atoms:
1 Ba 0.0000 0.0000 0.0000  6 Pt 3.09-3.45, 2 In 3.40, 2 Ba 3.42
2 In 0.0000 0.5000 0.7927  2 Pt 2.85
3 Pt 0.0000 0.0000 0.5052  2 Pt 2.82, 2 In 2.85, 4 Ba 3.09
4 Pt 0.0000 0.5000 0.2139  2 Pt 2.82

Results
As for the density: 11288 kg/m3. The energy comes out at -4.490 eV per atom.

---

Among the records above, which one has the highest density?
BaInPt2

---

Which value of density does entry 1 give?
9782 kg/m3